# 1
Density functional theory data (GGA-PBE) for an optimized crystal structure of CsLa2TcO8.

Summary:
mass density = 5715 kg/m³
magnetic moment = 0.00 μB per cell
formation energy (no corrections) = -2.12 eV per atom

```
data_CsLa2TcO8
_cell_length_a 4.5673
_cell_length_b 5.3438
_cell_length_c 7.8932
_cell_angle_alpha 89.09
_cell_angle_beta 73.96
_cell_angle_gamma 87.67
_symmetry_space_group_name_H-M 'P -1'
_symmetry_Int_Tables_number 2
loop_
_symmetry_equiv_pos_as_xyz
'x,y,z'
'-x,-y,-z'
loop_
_atom_site_label
_atom_site_type_symbol
_atom_site_fract_x
_atom_site_fract_y
_atom_site_fract_z
_atom_site_occupancy
Cs1 Cs 0.0000 0.0000 0.0000 1
La1 La 0.3812 0.5053 0.3050 1
Tc1 Tc 0.0000 0.0000 0.5000 1
O1 O 0.1596 0.2868 0.5930 1
O2 O 0.2088 0.7635 0.6088 1
O3 O 0.3291 0.9929 0.2951 1
O4 O 0.3336 0.4888 0.0070 1
```


# 2
Density functional theory data (GGA-PBE) for an optimized crystal structure of CsLaTc2O8.

Summary:
density of states at the Fermi level = 8.50 states/eV/cell
mass density = 3493 kg/m³
magnetic moment = 2.03 μB per cell
formation energy (no corrections) = -1.94 eV per atom

```
data_CsLaTc2O8
_cell_length_a 6.1751
_cell_length_b 6.1751
_cell_length_c 8.5766
_cell_angle_alpha 90.00
_cell_angle_beta 90.00
_cell_angle_gamma 120.00
_symmetry_space_group_name_H-M 'P -3'
_symmetry_Int_Tables_number 147
loop_
_symmetry_equiv_pos_as_xyz
'x,y,z'
'-x,-y,-z'
'-y,x-y,z'
'y,-x+y,-z'
'-x+y,-x,z'
'x-y,x,-z'
loop_
_atom_site_label
_atom_site_type_symbol
_atom_site_fract_x
_atom_site_fract_y
_atom_site_fract_z
_atom_site_occupancy
Cs1 Cs 0.0000 0.0000 0.0000 1
La1 La 0.0000 0.0000 0.5000 1
Tc1 Tc 0.3333 0.6667 0.7456 1
O1 O 0.1742 0.3504 0.6739 1
O2 O 0.3333 0.6667 0.9495 1
```


# 3
Density functional theory data (GGA-PBE) for an optimized crystal structure of Cs2LaTc3O12.

Summary:
density of states at the Fermi level = 15.29 states/eV/cell
mass density = 4772 kg/m³
magnetic moment = 2.54 μB per cell
formation energy (no corrections) = -1.71 eV per atom

```
data_Cs2LaTc3O12
_cell_length_a 7.4429
_cell_length_b 7.4429
_cell_length_c 19.3823
_cell_angle_alpha 90.00
_cell_angle_beta 90.00
_cell_angle_gamma 120.00
_symmetry_space_group_name_H-M 'R -3 m'
_symmetry_Int_Tables_number 166
_symmetry_space_group_name_Hall '-R 3 2"'
loop_
_atom_site_label
_atom_site_type_symbol
_atom_site_fract_x
_atom_site_fract_y
_atom_site_fract_z
_atom_site_occupancy
Cs1 Cs 0.0000 0.0000 0.1107 1
La1 La 0.0000 0.0000 0.5000 1
Tc1 Tc 0.0000 0.5000 0.0000 1
O1 O 0.0304 0.5152 0.0952 1
O2 O 0.0854 0.5427 0.3405 1
```


# 4
Density functional theory data (GGA-PBE) for an optimized crystal structure of Cs2LaTe2O6.

Summary:
density of states at the Fermi level = 4.07 states/eV/cell
mass density = 4300 kg/m³
magnetic moment = 1.96 μB per cell
formation energy (no corrections) = -1.71 eV per atom

```
data_Cs2LaTe2O6
_cell_length_a 11.0652
_cell_length_b 6.5471
_cell_length_c 8.6533
_cell_angle_alpha 90.00
_cell_angle_beta 111.37
_cell_angle_gamma 90.00
_symmetry_space_group_name_H-M 'C 1 2/m 1'
_symmetry_Int_Tables_number 12
loop_
_symmetry_equiv_pos_as_xyz
'x,y,z'
'-x,-y,-z'
'-x,y,-z'
'x,-y,z'
'x+1/2,y+1/2,z'
'-x+1/2,-y+1/2,-z'
'-x+1/2,y+1/2,-z'
'x+1/2,-y+1/2,z'
loop_
_atom_site_label
_atom_site_type_symbol
_atom_site_fract_x
_atom_site_fract_y
_atom_site_fract_z
_atom_site_occupancy
Cs1 Cs 0.2257 0.0000 0.1990 1
La1 La 0.0000 0.5000 0.0000 1
Te1 Te 0.0834 0.0000 0.7237 1
O1 O 0.0478 0.2300 0.8384 1
O2 O 0.2316 0.5000 0.1530 1
```


# 5
Density functional theory data (GGA-PBE) for an optimized crystal structure of CsLaTe2O8.

Summary:
density of states at the Fermi level = 0.00 states/eV/cell
mass density = 3723 kg/m³
magnetic moment = 0.06 μB per cell
formation energy (no corrections) = -1.60 eV per atom

```
data_CsLaTe2O8
_cell_length_a 6.1808
_cell_length_b 6.1808
_cell_length_c 8.8314
_cell_angle_alpha 90.00
_cell_angle_beta 90.00
_cell_angle_gamma 120.00
_symmetry_space_group_name_H-M 'P -3'
_symmetry_Int_Tables_number 147
loop_
_symmetry_equiv_pos_as_xyz
'x,y,z'
'-x,-y,-z'
'-y,x-y,z'
'y,-x+y,-z'
'-x+y,-x,z'
'x-y,x,-z'
loop_
_atom_site_label
_atom_site_type_symbol
_atom_site_fract_x
_atom_site_fract_y
_atom_site_fract_z
_atom_site_occupancy
Cs1 Cs 0.0000 0.0000 0.0000 1
La1 La 0.0000 0.0000 0.5000 1
Te1 Te 0.3333 0.6667 0.7438 1
O1 O 0.1443 0.3457 0.6692 1
O2 O 0.3333 0.6667 0.9500 1
```


# 6
Density functional theory data (GGA-PBE) for an optimized crystal structure of CsLa3Te4O12.

Summary:
density of states at the Fermi level = 16.05 states/eV/cell
mass density = 4855 kg/m³
magnetic moment = 2.04 μB per cell
formation energy (no corrections) = -1.73 eV per atom

```
data_CsLa3Te4O12
_cell_length_a 13.0915
_cell_length_b 13.0915
_cell_length_c 8.6554
_cell_angle_alpha 90.00
_cell_angle_beta 90.00
_cell_angle_gamma 120.00
_symmetry_space_group_name_H-M 'R 3 2'
_symmetry_Int_Tables_number 155
_symmetry_space_group_name_Hall 'R 3 2"'
loop_
_atom_site_label
_atom_site_type_symbol
_atom_site_fract_x
_atom_site_fract_y
_atom_site_fract_z
_atom_site_occupancy
Cs1 Cs 0.0000 0.0000 0.0000 1
La1 La 0.0000 0.5575 0.0000 1
Te1 Te 0.0000 0.0000 0.5000 1
Te2 Te 0.0000 0.4459 0.5000 1
O1 O 0.0000 0.6139 0.5000 1
O2 O 0.0000 0.8430 0.5000 1
O3 O 0.0463 0.2451 0.1706 1
```


# 7
Density functional theory data (GGA-PBE) for an optimized crystal structure of Cs3LaTe2O9.

Summary:
density of states at the Fermi level = 8.29 states/eV/cell
mass density = 6283 kg/m³
magnetic moment = 0.00 μB per cell
formation energy (no corrections) = -1.54 eV per atom

```
data_Cs3LaTe2O9
_cell_length_a 6.1500
_cell_length_b 6.1500
_cell_length_c 7.5594
_cell_angle_alpha 90.00
_cell_angle_beta 90.00
_cell_angle_gamma 120.00
_symmetry_space_group_name_H-M 'P -3 m 1'
_symmetry_Int_Tables_number 164
_symmetry_space_group_name_Hall '-P 3 2"'
loop_
_atom_site_label
_atom_site_type_symbol
_atom_site_fract_x
_atom_site_fract_y
_atom_site_fract_z
_atom_site_occupancy
Cs1 Cs 0.0000 0.0000 0.0000 1
Cs2 Cs 0.3333 0.6667 0.6680 1
La1 La 0.0000 0.0000 0.5000 1
Te1 Te 0.3333 0.6667 0.1655 1
O1 O 0.0000 0.5000 0.0000 1
O2 O 0.1830 0.3661 0.3074 1
```


# 8
Density functional theory data (GGA-PBE) for an optimized crystal structure of CsLaTeO4.

Summary:
density of states at the Fermi level = 0.00 states/eV/cell
mass density = 4882 kg/m³
magnetic moment = 0.00 μB per cell
formation energy (no corrections) = -2.04 eV per atom

```
data_CsLaTeO4
_cell_length_a 6.1059
_cell_length_b 6.3530
_cell_length_c 8.4822
_cell_angle_alpha 90.00
_cell_angle_beta 106.66
_cell_angle_gamma 90.00
_symmetry_space_group_name_H-M 'P 1 21/m 1'
_symmetry_Int_Tables_number 11
loop_
_symmetry_equiv_pos_as_xyz
'x,y,z'
'-x,-y,-z'
'-x,y+1/2,-z'
'x,-y+1/2,z'
loop_
_atom_site_label
_atom_site_type_symbol
_atom_site_fract_x
_atom_site_fract_y
_atom_site_fract_z
_atom_site_occupancy
Cs1 Cs 0.1023 0.2500 0.1364 1
La1 La 0.1822 0.7500 0.4671 1
Te1 Te 0.3940 0.2500 0.7344 1
O1 O 0.1626 0.0153 0.6685 1
O2 O 0.2535 0.7500 0.2086 1
O3 O 0.4081 0.2500 0.5092 1
```


Number 1: electronic total energy -7.1767 eV/atom. Number 2: electronic total energy -7.4548 eV/atom. Number 3: electronic total energy -7.1110 eV/atom. Number 4: electronic total energy -5.5918 eV/atom. Number 5: electronic total energy -5.9067 eV/atom. Number 6: electronic total energy -6.1191 eV/atom. Number 7: electronic total energy -5.4294 eV/atom. Number 8: electronic total energy -6.1484 eV/atom.